Entry 1:
The following is a PBE calculation of an optimized crystal structure of P3Ru, from Alexandria via LeMat-Bulk.

Properties
The value obtained for the theoretical density is 4.691 g/cm³. Its density of states at the Fermi level is 2.5 states/eV per cell. As for the crystal system: tetragonal. The offset from the most stable computed form comes out at 423 meV per atom.

Structure (CIF):
```
data_P3Ru
_chemical_formula_sum 'P3 Ru1'
_space_group_name_H-M_alt 'P -4 m 2'
_space_group_IT_number 115
_cell_length_a 3.3956
_cell_length_b 3.3956
_cell_length_c 5.9559
_cell_angle_alpha 90.00
_cell_angle_beta 90.00
_cell_angle_gamma 90.00
loop_
_space_group_symop_operation_xyz
'x,y,z'
'y,-x,-z'
'-x,-y,z'
'-y,x,-z'
'-x,y,z'
'-y,-x,-z'
'x,-y,z'
'y,x,-z'
loop_
_atom_site_label
_atom_site_type_symbol
_atom_site_fract_x
_atom_site_fract_y
_atom_site_fract_z
_atom_site_occupancy
P1 P 0.0000 0.0000 0.0000 1
P2 P 0.0000 0.5000 0.7478 1
Ru1 Ru 0.5000 0.5000 0.5000 1
```


Entry 2:
The following is a PBE calculation of an optimized crystal structure of PRu2, from Alexandria via LeMat-Bulk.

Properties
The value obtained for the theoretical density is 7.609 g/cm³. Its density of states at the Fermi level is 17.9 states/eV per cell. As for the crystal system: hexagonal.

Structure (CIF):
```
data_PRu2
_chemical_formula_sum 'P4 Ru8'
_space_group_name_H-M_alt 'P 63/m m c'
_space_group_IT_number 194
_space_group_name_Hall '-P 6c 2c'
_cell_length_a 5.0991
_cell_length_b 5.0991
_cell_length_c 9.0378
_cell_angle_alpha 90.00
_cell_angle_beta 90.00
_cell_angle_gamma 120.00
loop_
_atom_site_label
_atom_site_type_symbol
_atom_site_fract_x
_atom_site_fract_y
_atom_site_fract_z
_atom_site_occupancy
P1 P 0.3333 0.6667 0.0398 1
Ru1 Ru 0.0000 0.0000 0.0000 1
Ru2 Ru 0.1649 0.3297 0.2500 1
```


Entry 3:
The following is a PBE calculation of an optimized crystal structure of P3Ru, from Alexandria via LeMat-Bulk.

Properties
The value obtained for the theoretical density is 5.901 g/cm³. Its density of states at the Fermi level is 2.2 states/eV per cell. As for the crystal system: tetragonal. The offset from the most stable computed form comes out at 750 meV per atom.

Structure (CIF):
```
data_P3Ru
_chemical_formula_sum 'P3 Ru1'
_space_group_name_H-M_alt 'P 4/m m m'
_space_group_IT_number 123
_space_group_name_Hall '-P 4 2'
_cell_length_a 2.9104
_cell_length_b 2.9104
_cell_length_c 6.4447
_cell_angle_alpha 90.00
_cell_angle_beta 90.00
_cell_angle_gamma 90.00
loop_
_atom_site_label
_atom_site_type_symbol
_atom_site_fract_x
_atom_site_fract_y
_atom_site_fract_z
_atom_site_occupancy
P1 P 0.0000 0.0000 0.0000 1
P2 P 0.5000 0.5000 0.2660 1
Ru1 Ru 0.0000 0.0000 0.5000 1
```


Entry 4:
The following is a PBE calculation of an optimized crystal structure of P3Ru, from Alexandria via LeMat-Bulk.

Properties
The value obtained for the theoretical density is 5.607 g/cm³. Its density of states at the Fermi level is 8.5 states/eV per cell. As for the crystal system: hexagonal. The offset from the most stable computed form comes out at 1065 meV per atom.

Structure (CIF):
```
data_P3Ru
_chemical_formula_sum 'P12 Ru4'
_space_group_name_H-M_alt 'P 63/m m c'
_space_group_IT_number 194
_space_group_name_Hall '-P 6c 2c'
_cell_length_a 5.4527
_cell_length_b 5.4527
_cell_length_c 8.9257
_cell_angle_alpha 90.00
_cell_angle_beta 90.00
_cell_angle_gamma 120.00
loop_
_atom_site_label
_atom_site_type_symbol
_atom_site_fract_x
_atom_site_fract_y
_atom_site_fract_z
_atom_site_occupancy
P1 P 0.0000 0.5000 0.0000 1
P2 P 0.1454 0.2908 0.2500 1
Ru1 Ru 0.0000 0.0000 0.0000 1
Ru2 Ru 0.3333 0.6667 0.7500 1
```


Entry 5:
The following is a PBE calculation of an optimized crystal structure of P2Ru, from Alexandria via LeMat-Bulk.

Properties
The value obtained for the theoretical density is 6.127 g/cm³. As for the crystal system: orthorhombic.

Structure (CIF):
```
data_P2Ru
_chemical_formula_sum 'P4 Ru2'
_space_group_name_H-M_alt 'P n n m'
_space_group_IT_number 58
_cell_length_a 5.1413
_cell_length_b 5.9221
_cell_length_c 2.9019
_cell_angle_alpha 90.00
_cell_angle_beta 90.00
_cell_angle_gamma 90.00
loop_
_space_group_symop_operation_xyz
'x,y,z'
'-x,-y,-z'
'-x,-y,z'
'x,y,-z'
'x+1/2,-y+1/2,-z+1/2'
'-x+1/2,y+1/2,z+1/2'
'-x+1/2,y+1/2,-z+1/2'
'x+1/2,-y+1/2,z+1/2'
loop_
_atom_site_label
_atom_site_type_symbol
_atom_site_fract_x
_atom_site_fract_y
_atom_site_fract_z
_atom_site_occupancy
P1 P 0.1619 0.1272 0.0000 1
Ru1 Ru 0.0000 0.5000 0.0000 1
```


Entry 6:
The following is a PBE calculation of an optimized crystal structure of PRu2, from Alexandria via LeMat-Bulk.

Properties
The value obtained for the theoretical density is 9.415 g/cm³. Its density of states at the Fermi level is 5.7 states/eV per cell. As for the crystal system: orthorhombic.

Structure (CIF):
```
data_PRu2
_chemical_formula_sum 'P2 Ru4'
_space_group_name_H-M_alt 'I m m m'
_space_group_IT_number 71
_space_group_name_Hall '-I 2 2'
_cell_length_a 2.8608
_cell_length_b 3.9459
_cell_length_c 7.2841
_cell_angle_alpha 90.00
_cell_angle_beta 90.00
_cell_angle_gamma 90.00
loop_
_atom_site_label
_atom_site_type_symbol
_atom_site_fract_x
_atom_site_fract_y
_atom_site_fract_z
_atom_site_occupancy
P1 P 0.0000 0.0000 0.0000 1
Ru1 Ru 0.0000 0.0000 0.3222 1
```


Entry 7:
The following is a PBE calculation of an optimized crystal structure of P3Ru, from Alexandria via LeMat-Bulk.

Properties
The value obtained for the theoretical density is 5.446 g/cm³. Its density of states at the Fermi level is 3.8 states/eV per cell. As for the crystal system: orthorhombic. The offset from the most stable computed form comes out at 465 meV per atom.

Structure (CIF):
```
data_P3Ru
_chemical_formula_sum 'P6 Ru2'
_space_group_name_H-M_alt 'A m m 2'
_space_group_IT_number 38
_cell_length_a 2.8649
_cell_length_b 4.6565
_cell_length_c 8.8672
_cell_angle_alpha 90.00
_cell_angle_beta 90.00
_cell_angle_gamma 90.00
loop_
_space_group_symop_operation_xyz
'x,y,z'
'-x,-y,z'
'-x,y,z'
'x,-y,z'
'x,y+1/2,z+1/2'
'-x,-y+1/2,z+1/2'
'-x,y+1/2,z+1/2'
'x,-y+1/2,z+1/2'
loop_
_atom_site_label
_atom_site_type_symbol
_atom_site_fract_x
_atom_site_fract_y
_atom_site_fract_z
_atom_site_occupancy
P1 P 0.0000 0.0000 0.0000 1
P2 P 0.0000 0.0000 0.4345 1
P3 P 0.5000 0.0000 0.6863 1
Ru1 Ru 0.5000 0.0000 0.2120 1
```


Entry 8:
The following is a PBE calculation of an optimized crystal structure of P3Ru, from Alexandria via LeMat-Bulk.

Properties
The value obtained for the theoretical density is 5.277 g/cm³. Its density of states at the Fermi level is 4.6 states/eV per cell. As for the crystal system: orthorhombic. The offset from the most stable computed form comes out at 469 meV per atom.

Structure (CIF):
```
data_P3Ru
_chemical_formula_sum 'P6 Ru2'
_space_group_name_H-M_alt 'I m m 2'
_space_group_IT_number 44
_cell_length_a 3.7028
_cell_length_b 7.2443
_cell_length_c 4.5518
_cell_angle_alpha 90.00
_cell_angle_beta 90.00
_cell_angle_gamma 90.00
loop_
_space_group_symop_operation_xyz
'x,y,z'
'-x,-y,z'
'-x,y,z'
'x,-y,z'
'x+1/2,y+1/2,z+1/2'
'-x+1/2,-y+1/2,z+1/2'
'-x+1/2,y+1/2,z+1/2'
'x+1/2,-y+1/2,z+1/2'
loop_
_atom_site_label
_atom_site_type_symbol
_atom_site_fract_x
_atom_site_fract_y
_atom_site_fract_z
_atom_site_occupancy
P1 P 0.0000 0.0000 0.0000 1
P2 P 0.0000 0.1797 0.3880 1
Ru1 Ru 0.0000 0.5000 0.1797 1
```


Entry 9:
The following is a PBE calculation of an optimized crystal structure of P3Ru, from Alexandria via LeMat-Bulk.

Properties
The value obtained for the theoretical density is 5.241 g/cm³. Its density of states at the Fermi level is 2.1 states/eV per cell. As for the crystal system: triclinic. The offset from the most stable computed form comes out at 431 meV per atom.

Structure (CIF):
```
data_P3Ru
_chemical_formula_sum 'P3 Ru1'
_space_group_name_H-M_alt 'P 1'
_space_group_IT_number 1
_cell_length_a 3.3740
_cell_length_b 4.2139
_cell_length_c 4.6224
_cell_angle_alpha 96.44
_cell_angle_beta 101.35
_cell_angle_gamma 104.52
loop_
_space_group_symop_operation_xyz
'x,y,z'
loop_
_atom_site_label
_atom_site_type_symbol
_atom_site_fract_x
_atom_site_fract_y
_atom_site_fract_z
_atom_site_occupancy
P1 P 0.0000 0.0000 0.0000 1
P2 P 0.2588 0.9341 0.4624 1
P3 P 0.6209 0.3699 0.0513 1
Ru1 Ru 0.6696 0.5834 0.5828 1
```


Entry 10:
The following is a PBE calculation of an optimized crystal structure of P2Ru, from Alexandria via LeMat-Bulk.

Properties
The value obtained for the theoretical density is 5.480 g/cm³. Its density of states at the Fermi level is 0.7 states/eV per cell. As for the crystal system: triclinic.

Structure (CIF):
```
data_P2Ru
_chemical_formula_sum 'P2 Ru1'
_space_group_name_H-M_alt 'P 1'
_space_group_IT_number 1
_cell_length_a 2.9099
_cell_length_b 4.1070
_cell_length_c 4.4736
_cell_angle_alpha 98.10
_cell_angle_beta 108.78
_cell_angle_gamma 96.48
loop_
_space_group_symop_operation_xyz
'x,y,z'
loop_
_atom_site_label
_atom_site_type_symbol
_atom_site_fract_x
_atom_site_fract_y
_atom_site_fract_z
_atom_site_occupancy
P1 P 0.0000 0.0000 0.0000 1
P2 P 0.1029 0.4356 0.3656 1
Ru1 Ru 0.3852 0.5378 0.9314 1
```


Entry 11:
The following is a PBE calculation of an optimized crystal structure of P2Ru3, from Alexandria via LeMat-Bulk.

Properties
The value obtained for the theoretical density is 9.095 g/cm³. Its density of states at the Fermi level is 11.4 states/eV per cell. As for the crystal system: trigonal.

Structure (CIF):
```
data_P2Ru3
_chemical_formula_sum 'P6 Ru9'
_space_group_name_H-M_alt 'R -3 m'
_space_group_IT_number 166
_space_group_name_Hall '-R 3 2"'
_cell_length_a 2.8634
_cell_length_b 2.8634
_cell_length_c 28.1676
_cell_angle_alpha 90.00
_cell_angle_beta 90.00
_cell_angle_gamma 120.00
loop_
_atom_site_label
_atom_site_type_symbol
_atom_site_fract_x
_atom_site_fract_y
_atom_site_fract_z
_atom_site_occupancy
P1 P 0.0000 0.0000 0.1018 1
Ru1 Ru 0.0000 0.0000 0.2928 1
Ru2 Ru 0.0000 0.0000 0.5000 1
```


Entry 12:
The following is a PBE calculation of an optimized crystal structure of P2Ru, from Alexandria via LeMat-Bulk.

Properties
The value obtained for the theoretical density is 5.717 g/cm³. Its density of states at the Fermi level is 0.6 states/eV per cell. As for the crystal system: monoclinic.

Structure (CIF):
```
data_P2Ru
_chemical_formula_sum 'P4 Ru2'
_space_group_name_H-M_alt 'C 1 2/m 1'
_space_group_IT_number 12
_cell_length_a 7.0984
_cell_length_b 2.9205
_cell_length_c 5.3133
_cell_angle_alpha 90.00
_cell_angle_beta 120.71
_cell_angle_gamma 90.00
loop_
_space_group_symop_operation_xyz
'x,y,z'
'-x,-y,-z'
'-x,y,-z'
'x,-y,z'
'x+1/2,y+1/2,z'
'-x+1/2,-y+1/2,-z'
'-x+1/2,y+1/2,-z'
'x+1/2,-y+1/2,z'
loop_
_atom_site_label
_atom_site_type_symbol
_atom_site_fract_x
_atom_site_fract_y
_atom_site_fract_z
_atom_site_occupancy
P1 P 0.1070 0.0000 0.2381 1
Ru1 Ru 0.0000 0.5000 0.5000 1
```


Entry 13:
The following is a PBE calculation of an optimized crystal structure of P3Ru, from Alexandria via LeMat-Bulk.

Properties
The value obtained for the theoretical density is 5.222 g/cm³. Its density of states at the Fermi level is 5.6 states/eV per cell. As for the crystal system: tetragonal. The offset from the most stable computed form comes out at 749 meV per atom.

Structure (CIF):
```
data_P3Ru
_chemical_formula_sum 'P12 Ru4'
_space_group_name_H-M_alt 'I 4/m m m'
_space_group_IT_number 139
_space_group_name_Hall '-I 4 2'
_cell_length_a 3.6225
_cell_length_b 3.6225
_cell_length_c 18.8022
_cell_angle_alpha 90.00
_cell_angle_beta 90.00
_cell_angle_gamma 90.00
loop_
_atom_site_label
_atom_site_type_symbol
_atom_site_fract_x
_atom_site_fract_y
_atom_site_fract_z
_atom_site_occupancy
P1 P 0.0000 0.0000 0.0934 1
P2 P 0.0000 0.5000 0.0000 1
P3 P 0.0000 0.5000 0.2500 1
Ru1 Ru 0.0000 0.0000 0.3251 1
```


Number 1: final energy -6.48 eV per atom. Number 2: final energy -7.25 eV per atom. Number 3: final energy -6.15 eV per atom. Number 4: final energy -5.84 eV per atom. Number 5: final energy -7.31 eV per atom. Number 6: final energy -7.90 eV per atom. Number 7: final energy -6.43 eV per atom. Number 8: final energy -6.43 eV per atom. Number 9: final energy -6.47 eV per atom. Number 10: final energy -6.83 eV per atom. Number 11: final energy -7.90 eV per atom. Number 12: final energy -7.04 eV per atom. Number 13: final energy -6.15 eV per atom.